No. 1
A plane-wave DFT calculation with PBEsol was carried out for a geometry-optimized MnCrH18N6F6 structure.

POSCAR file:
```
MnCrH18N6F6
1.0
-1.435 -8.614 -4.722
4.060 -4.865 7.642
-8.945 -0.827 4.225
Mn Cr H N F
4 4 72 24 24
Cartesian
0.000 0.000 0.000 Mn
-5.190 -4.720 -0.248 Mn
1.312 -6.740 1.460 Mn
-2.443 -2.846 5.934 Mn
-3.160 -7.153 3.573 Cr
2.030 -2.433 3.821 Cr
-4.473 -0.413 2.113 Cr
-0.717 -4.307 -2.361 Cr
-1.763 -6.745 -2.637 H
-6.563 -4.982 6.041 H
-1.661 -5.259 4.703 H
0.842 -8.386 5.775 H
-4.492 -5.132 2.452 H
-4.278 -9.264 -0.511 H
-6.293 -1.598 3.660 H
2.361 -4.546 5.414 H
-1.500 -6.931 1.497 H
-5.689 -11.695 3.359 H
-6.231 -9.669 6.936 H
-2.654 -11.625 6.183 H
-4.558 -7.561 9.782 H
0.243 -9.324 1.104 H
-4.660 -9.047 2.442 H
-7.162 -5.919 1.371 H
-1.828 -9.173 4.693 H
-2.042 -5.041 7.657 H
-0.027 -12.707 3.485 H
-8.682 -9.760 1.731 H
-4.820 -7.374 5.649 H
-0.631 -2.611 3.786 H
-0.089 -4.637 0.210 H
-3.666 -2.680 0.962 H
-2.773 -5.815 -1.710 H
-5.234 -4.001 6.163 H
-0.777 -6.036 3.537 H
1.310 -7.828 4.287 H
-3.724 -4.594 3.817 H
-4.691 -7.672 -0.709 H
-4.776 -1.973 4.211 H
-2.741 -7.964 1.162 H
1.874 -5.058 3.916 H
-6.202 -12.524 4.699 H
-6.099 -11.287 7.266 H
-3.856 -12.760 6.302 H
-3.547 -8.490 8.856 H
-1.086 -10.305 0.983 H
-5.543 -8.270 3.609 H
-7.630 -6.477 2.859 H
-2.596 -9.712 3.328 H
-1.629 -6.633 7.854 H
-1.544 -12.333 2.935 H
-8.194 -9.248 3.229 H
-3.348 -8.019 6.051 H
-0.118 -1.782 2.447 H
-0.221 -3.019 -0.120 H
-2.465 -1.546 0.844 H
-1.338 -6.450 -1.071 H
-6.681 -3.435 5.486 H
-1.076 -6.763 5.038 H
1.871 -7.100 5.710 H
-5.133 -5.531 3.918 H
-3.562 -8.416 -1.730 H
-5.409 -2.708 2.821 H
0.778 -4.353 4.999 H
-2.775 -2.342 2.307 H
-1.597 -3.994 0.041 H
0.041 -3.466 2.548 H
-3.579 -6.342 5.983 H
-7.098 -9.953 2.146 H
-0.911 -11.598 4.325 H
-2.758 -5.889 8.876 H
-1.187 -8.775 3.228 H
-8.191 -7.205 1.435 H
-5.244 -7.542 2.107 H
0.361 -10.871 1.660 H
-4.982 -7.855 8.217 H
-3.546 -11.963 4.839 H
-4.723 -10.311 7.104 H
-6.361 -10.840 4.597 H
-2.972 -6.286 1.095 H
-4.459 -8.542 -1.226 N
-4.236 -5.403 3.415 N
1.743 -4.309 4.623 N
-1.485 -6.185 4.282 N
-5.334 -1.819 3.349 N
-2.517 -7.060 1.617 N
-6.269 -4.013 6.241 N
1.646 -8.003 5.253 N
-1.774 -6.016 -1.906 N
-3.112 -12.398 5.674 N
-6.435 -11.730 4.072 N
-5.688 -10.358 7.479 N
-1.861 -5.764 8.371 N
-2.084 -8.903 3.731 N
-8.063 -9.997 2.523 N
-4.835 -8.121 2.864 N
-0.986 -12.487 3.797 N
-3.803 -7.246 5.528 N
-0.051 -10.293 0.905 N
-7.966 -6.303 1.892 N
-4.546 -8.289 9.051 N
-3.208 -1.908 1.472 N
0.115 -2.576 3.074 N
-0.632 -3.948 -0.334 N
-5.366 -6.482 0.532 F
-2.608 -3.137 4.028 F
-6.318 -7.169 7.048 F
0.187 -5.318 2.135 F
-7.973 -2.482 4.463 F
-3.360 -4.631 0.373 F
-3.449 -4.464 6.266 F
0.450 -7.988 2.660 F
-0.526 -10.382 5.738 F
-8.852 -8.447 0.153 F
-4.207 -5.549 10.061 F
1.652 -11.824 2.683 F
-0.954 -7.824 6.614 F
-3.712 -11.168 3.117 F
-0.002 -7.137 0.097 F
-6.507 -8.988 5.011 F
-0.797 -3.863 5.949 F
-2.960 -9.675 6.772 F
-2.871 -9.841 0.880 F
-6.770 -6.317 4.486 F
-5.794 -3.924 1.408 F
2.532 -5.859 6.993 F
-2.113 -8.756 -2.916 F
-5.523 -10.443 1.197 F
```

Values from the calculation:
Space group: No. 205
Electronic total energy in eV/atom: -5.46
Total magnetic moment in μB/f.u.: 7.0
DOS(E_F) in states/eV/cell: 28.95
ρ in kg/m³: 2194

=====

No. 2
A plane-wave DFT calculation with PBEsol was carried out for a geometry-optimized KRbSi3 structure.

POSCAR file:
```
KRbSi3
1.0
5.578 0.000 0.000
0.000 5.578 0.000
0.000 0.000 5.578
K Si Rb
1 3 1
Cartesian
0.000 0.000 0.000 K
0.000 2.789 0.000 Si
0.000 0.000 2.789 Si
2.789 0.000 0.000 Si
2.789 2.789 2.789 Rb
```

Values from the calculation:
Space group: No. 221
Electronic total energy in eV/atom: -2.31
Total magnetic moment in μB/f.u.: 0.0
Energy relative to the elements, uncorrected in eV per atom: 1.5747
DOS(E_F) in states/eV/cell: 3.84
ρ in kg/m³: 1998

=====

No. 3
A plane-wave DFT calculation with PBEsol was carried out for a geometry-optimized RhBrO2F structure.

POSCAR file:
```
RhBrO2F
1.0
3.861 0.000 0.000
0.000 3.861 0.000
0.000 0.000 4.114
Rh O Br F
1 2 1 1
Cartesian
0.000 0.000 0.000 Rh
0.000 1.930 0.000 O
1.930 0.000 0.000 O
1.930 1.930 2.057 Br
0.000 0.000 2.057 F
```

Values from the calculation:
Space group: No. 123
Electronic total energy in eV/atom: -4.69
Total magnetic moment in μB/f.u.: 0.0
Energy relative to the elements, uncorrected in eV per atom: -0.1996
DOS(E_F) in states/eV/cell: 5.42
ρ in kg/m³: 6331

=====

No. 4
A plane-wave DFT calculation with PBEsol was carried out for a geometry-optimized CdPd2Pb2 structure.

POSCAR file:
```
CdPd2Pb2
1.0
4.495 0.000 0.000
0.000 4.495 0.000
-2.248 -2.248 5.810
Pb Pd Cd
2 2 1
Cartesian
0.000 2.248 2.905 Pb
2.248 0.000 2.905 Pb
0.000 0.000 4.540 Pd
2.248 2.248 1.271 Pd
0.000 0.000 0.000 Cd
```

Values from the calculation:
Space group: No. 139
E_form in kJ per mole of atoms: 12.38
Electronic total energy in eV/atom: -4.09
Total magnetic moment in μB/f.u.: 0.0
DOS(E_F) in states/eV/cell: 2.62
ρ in kg/m³: 10462

=====

No. 5
A plane-wave DFT calculation with PBEsol was carried out for a geometry-optimized Na2AgHRu structure.

POSCAR file:
```
Na2AgHRu
1.0
3.186 0.000 0.000
0.000 5.492 0.000
0.000 0.000 5.492
Ru H Ag Na
1 1 1 2
Cartesian
0.000 0.000 0.000 Ru
1.593 0.000 0.000 H
1.593 2.746 2.746 Ag
0.000 0.000 2.746 Na
0.000 2.746 0.000 Na
```

Values from the calculation:
Space group: No. 123
Electronic total energy in eV/atom: -3.13
Total magnetic moment in μB/f.u.: 1.4
DOS(E_F) in states/eV/cell: 4.17
ρ in kg/m³: 4422

=====

No. 6
A plane-wave DFT calculation with PBEsol was carried out for a geometry-optimized AlIn2W structure.

POSCAR file:
```
AlIn2W
1.0
2.910 0.086 0.000
-0.088 2.910 0.000
0.000 0.000 9.072
Al W In
1 1 2
Cartesian
1.411 1.498 2.548 Al
0.000 0.000 4.352 W
0.000 0.000 0.185 In
1.411 1.498 6.523 In
```

Values from the calculation:
Space group: No. 99
E_form in kJ per mole of atoms: 31.25
Electronic total energy in eV/atom: -5.64
Total magnetic moment in μB/f.u.: 0.0
DOS(E_F) in states/eV/cell: 2.33
ρ in kg/m³: 9514